1.
Ca3Hg: relaxed, PBE-GGA.

```
Ca3Hg
1.0
3.979 0.000 0.000
-1.990 3.446 0.000
0.000 0.000 32.375
Ca Hg
9 3
Direct
0.000 0.000 0.000
0.000 0.000 0.234
0.000 0.000 0.766
0.333 0.667 0.433
0.333 0.667 0.667
0.333 0.667 0.900
0.667 0.333 0.100
0.667 0.333 0.333
0.667 0.333 0.567
0.000 0.000 0.500
0.333 0.667 0.167
0.667 0.333 0.833
```

## Properties
Energy above the lowest structure with this stoichiometry, eV per atom: 0.0982
E_tot, eV/atom: -1.78
ρ, kg/m3: 3600
SG: R-3m

=====

2.
Ca3Hg: relaxed, PBE-GGA.

```
Ca3Hg
1.0
3.785 0.000 0.000
0.000 3.949 0.000
0.000 0.000 10.127
Ca Hg
3 1
Direct
0.000 0.000 0.000
0.000 0.500 0.328
0.500 0.500 0.716
0.500 0.000 0.476
```

## Properties
Energy above the lowest structure with this stoichiometry, eV per atom: 0.1621
E_tot, eV/atom: -1.72
ρ, kg/m3: 3520
SG: Pmm2

=====

3.
Ca5Hg: relaxed, PBE-GGA.

```
Ca5Hg
1.0
5.816 0.000 0.000
0.000 4.374 0.000
0.000 0.000 16.948
Ca Hg
10 2
Direct
0.000 0.000 0.000
0.000 0.000 0.291
0.000 0.500 0.500
0.000 0.500 0.791
0.500 0.000 0.145
0.500 0.000 0.477
0.500 0.000 0.812
0.500 0.500 0.312
0.500 0.500 0.645
0.500 0.500 0.977
0.000 0.000 0.646
0.000 0.500 0.146
```

## Properties
Energy above the lowest structure with this stoichiometry, eV per atom: 0.0679
E_tot, eV/atom: -1.84
ρ, kg/m3: 3089
SG: Amm2

=====

Number 1: E_form -0.2063 eV/atom. Number 2: E_form -0.1423 eV/atom. Number 3: E_form -0.1185 eV/atom.